[1]
VASP calculation (PBE) on an optimized crystal structure of SnOs2PdN.

## Properties
E_form (uncorrected)   0.641 eV per atom
Space group   P4/mmm

abc: 3.949 5.055 3.949
angles: 90.00 90.00 90.00
Atoms (fractional coordinates):
Os  0.000  0.000  0.500
Os  0.500  0.000  0.000
Sn  0.000  0.500  0.000
Pd  0.500  0.500  0.500
N  0.000  0.000  0.000

=====

[2]
VASP calculation (PBE) on an optimized crystal structure of TeOs2PdN.

## Properties
E_form (uncorrected)   2.398 eV per atom
Space group   P4/mmm

abc: 4.909 3.970 4.909
angles: 90.00 90.00 90.00
Atoms (fractional coordinates):
Te  0.000  0.000  0.000
Os  0.000  0.000  0.500
Os  0.500  0.000  0.000
Pd  0.500  0.500  0.500
N  0.000  0.500  0.000

=====

[3]
VASP calculation (PBE) on an optimized crystal structure of TeOsPdN2.

## Properties
E_form (uncorrected)   2.029 eV per atom
Space group   P4/mmm

abc: 3.801 3.801 6.785
angles: 90.00 90.00 90.00
Atoms (fractional coordinates):
Te  0.000  0.000  0.500
Os  0.500  0.500  0.500
Pd  0.000  0.000  0.000
N  0.000  0.500  0.000
N  0.500  0.000  0.000

=====

[4]
VASP calculation (PBE) on an optimized crystal structure of TeOsPdN2.

## Properties
E_form (uncorrected)   0.573 eV per atom
Space group   P4/mmm

abc: 3.791 3.791 5.941
angles: 90.00 90.00 90.00
Atoms (fractional coordinates):
Te  0.000  0.000  0.500
Os  0.000  0.000  0.000
Pd  0.500  0.500  0.500
N  0.000  0.500  0.000
N  0.500  0.000  0.000

=====

[5]
VASP calculation (PBE) on an optimized crystal structure of PmOsN.

## Properties
E_form (uncorrected)   -0.244 eV per atom
Space group   Pnma

abc: 2.945 5.874 11.204
angles: 90.00 90.00 90.00
Atoms (fractional coordinates):
Os  0.750  0.855  0.928
Os  0.250  0.645  0.428
Os  0.250  0.145  0.072
Os  0.750  0.355  0.572
N  0.750  0.297  0.174
N  0.250  0.203  0.674
N  0.250  0.703  0.826
N  0.750  0.797  0.326
Pm  0.750  0.356  0.845
Pm  0.250  0.144  0.345
Pm  0.250  0.644  0.155
Pm  0.750  0.856  0.655

=====

[6]
VASP calculation (PBE) on an optimized crystal structure of Pm4OsN.

## Properties
E_form (uncorrected)   -0.389 eV per atom
Space group   I4_1md

abc: 7.552 7.552 7.552
angles: 105.69 105.69 117.33
Atoms (fractional coordinates):
Pm  0.268  0.957  0.689
Pm  0.727  0.421  0.693
Pm  0.707  0.518  0.189
Pm  0.171  0.977  0.193
Pm  0.329  0.518  0.811
Pm  0.784  0.977  0.807
Pm  0.727  0.034  0.307
Pm  0.268  0.579  0.311
Os  0.245  0.245  0.000
Os  0.995  0.495  0.500
N  0.764  0.764  0.000
N  0.514  0.014  0.500

=====

[7]
VASP calculation (PBE) on an optimized crystal structure of PmOsN3.

## Properties
E_form (uncorrected)   -0.220 eV per atom
Space group   Pm-3m

abc: 3.923 3.923 3.923
angles: 90.00 90.00 90.00
Atoms (fractional coordinates):
N  0.000  0.500  0.000
N  0.000  0.000  0.500
N  0.500  0.000  0.000
Os  0.000  0.000  0.000
Pm  0.500  0.500  0.500

=====

[8]
VASP calculation (PBE) on an optimized crystal structure of Pm3Os5N12.

## Properties
E_form (uncorrected)   -0.201 eV per atom
Space group   Ia-3d

abc: 11.134 11.134 11.134
angles: 109.47 109.47 109.47
Atoms (fractional coordinates):
N  0.693  0.116  0.012
N  0.319  0.512  0.396
N  0.988  0.384  0.307
N  0.512  0.193  0.116
N  0.577  0.693  0.681
N  0.988  0.604  0.181
N  0.319  0.807  0.423
N  0.104  0.923  0.116
N  0.604  0.988  0.681
N  0.693  0.577  0.181
N  0.807  0.488  0.384
N  0.819  0.896  0.012
N  0.116  0.693  0.512
N  0.384  0.396  0.077
N  0.077  0.896  0.384
N  0.423  0.116  0.604
N  0.077  0.181  0.193
N  0.488  0.681  0.104
N  0.819  0.923  0.307
N  0.116  0.423  0.104
N  0.384  0.988  0.807
N  0.604  0.616  0.423
N  0.896  0.819  0.512
N  0.807  0.319  0.923
N  0.396  0.384  0.577
N  0.104  0.181  0.488
N  0.193  0.681  0.077
N  0.181  0.077  0.693
N  0.616  0.012  0.193
N  0.884  0.577  0.896
N  0.512  0.319  0.896
N  0.577  0.884  0.396
N  0.923  0.819  0.807
N  0.923  0.104  0.616
N  0.884  0.307  0.488
N  0.181  0.104  0.988
N  0.616  0.604  0.923
N  0.396  0.012  0.319
N  0.307  0.423  0.819
N  0.193  0.512  0.616
N  0.896  0.077  0.884
N  0.681  0.193  0.577
N  0.488  0.807  0.884
N  0.012  0.396  0.819
N  0.423  0.307  0.319
N  0.012  0.616  0.693
N  0.681  0.488  0.604
N  0.307  0.884  0.988
Os  0.125  0.375  0.250
Os  0.000  0.500  0.000
Os  0.000  0.000  0.000
Os  0.375  0.250  0.125
Os  0.500  0.000  0.500
Os  0.500  0.500  0.000
Os  0.125  0.750  0.375
Os  0.750  0.125  0.875
Os  0.750  0.625  0.375
Os  0.375  0.125  0.750
Os  0.625  0.875  0.250
Os  0.500  0.500  0.500
Os  0.500  0.000  0.000
Os  0.000  0.000  0.500
Os  0.250  0.375  0.625
Os  0.250  0.875  0.125
Os  0.000  0.500  0.500
Os  0.875  0.250  0.625
Os  0.625  0.750  0.875
Os  0.875  0.625  0.750
Pm  0.750  0.375  0.125
Pm  0.875  0.750  0.125
Pm  0.375  0.750  0.625
Pm  0.250  0.125  0.375
Pm  0.875  0.125  0.250
Pm  0.375  0.625  0.250
Pm  0.625  0.375  0.750
Pm  0.125  0.875  0.750
Pm  0.750  0.875  0.625
Pm  0.625  0.250  0.375
Pm  0.125  0.250  0.875
Pm  0.250  0.625  0.875

=====

[9]
VASP calculation (PBE) on an optimized crystal structure of Pm6Os2N.

## Properties
E_form (uncorrected)   -0.401 eV per atom
Space group   P2_1/c

abc: 6.626 7.381 9.439
angles: 90.00 89.15 90.00
Atoms (fractional coordinates):
Pm  0.121  0.047  0.255
Pm  0.166  0.308  0.562
Pm  0.187  0.334  0.940
Pm  0.313  0.834  0.560
Pm  0.334  0.808  0.938
Pm  0.379  0.547  0.245
Pm  0.879  0.953  0.745
Pm  0.834  0.692  0.438
Pm  0.813  0.666  0.060
Pm  0.687  0.166  0.440
Pm  0.666  0.192  0.062
Pm  0.621  0.453  0.755
Os  0.033  0.600  0.753
Os  0.467  0.100  0.747
Os  0.533  0.900  0.253
Os  0.967  0.400  0.247
N  0.500  0.500  0.000
N  0.000  0.000  0.500

=====

[10]
VASP calculation (PBE) on an optimized crystal structure of Pm2OsN3.

## Properties
E_form (uncorrected)   -0.939 eV per atom
Space group   Immm

abc: 3.541 3.790 6.994
angles: 105.72 104.66 90.00
Atoms (fractional coordinates):
Pm  0.652  0.652  0.304
Pm  0.348  0.348  0.696
Os  0.000  0.000  0.000
N  0.000  0.500  0.000
N  0.836  0.836  0.673
N  0.164  0.164  0.327

=====

[11]
VASP calculation (PBE) on an optimized crystal structure of Pm3OsN.

## Properties
E_form (uncorrected)   -0.548 eV per atom
Space group   P2_1/c

abc: 6.265 9.034 8.613
angles: 113.94 90.00 90.00
Atoms (fractional coordinates):
Pm  0.074  0.645  0.920
Pm  0.926  0.355  0.080
Pm  0.574  0.855  0.080
Pm  0.426  0.145  0.920
Pm  0.592  0.442  0.794
Pm  0.408  0.558  0.206
Pm  0.092  0.058  0.206
Pm  0.908  0.942  0.794
Pm  0.112  0.230  0.628
Pm  0.888  0.770  0.372
Pm  0.612  0.270  0.372
Pm  0.388  0.730  0.628
Os  0.852  0.584  0.585
Os  0.148  0.416  0.415
Os  0.352  0.916  0.415
Os  0.648  0.084  0.585
N  0.238  0.401  0.925
N  0.762  0.599  0.075
N  0.738  0.099  0.075
N  0.262  0.901  0.925

=====

[12]
VASP calculation (PBE) on an optimized crystal structure of PmPr2Os2N6.

## Properties
E_form (uncorrected)   -0.448 eV per atom
Space group   R-3m

abc: 5.770 5.770 6.957
angles: 65.50 65.50 60.00
Atoms (fractional coordinates):
Pm  0.000  0.000  0.000
Pr  0.792  0.792  0.624
Pr  0.208  0.208  0.376
Os  0.400  0.400  0.801
Os  0.600  0.600  0.199
N  0.737  0.737  0.299
N  0.226  0.737  0.299
N  0.737  0.226  0.299
N  0.263  0.774  0.701
N  0.774  0.263  0.701
N  0.263  0.263  0.701

=====

[13]
VASP calculation (PBE) on an optimized crystal structure of Pm2PrOsN4.

## Properties
E_form (uncorrected)   -0.820 eV per atom
Space group   Cmcm

abc: 3.503 6.258 12.057
angles: 90.00 90.00 106.25
Atoms (fractional coordinates):
Pm  0.368  0.736  0.541
Pm  0.632  0.264  0.041
Pm  0.632  0.264  0.459
Pm  0.368  0.736  0.959
Pr  0.119  0.239  0.750
Pr  0.881  0.761  0.250
Os  0.852  0.705  0.750
Os  0.148  0.295  0.250
N  0.271  0.541  0.134
N  0.729  0.459  0.634
N  0.729  0.459  0.866
N  0.271  0.541  0.366
N  0.000  0.000  0.500
N  0.000  0.000  0.000
N  0.431  0.861  0.750
N  0.569  0.139  0.250

=====

[14]
VASP calculation (PBE) on an optimized crystal structure of Pm2PuOsN4.

## Properties
E_form (uncorrected)   -0.746 eV per atom
Space group   Cmcm

abc: 3.373 6.149 11.984
angles: 90.00 90.00 105.92
Atoms (fractional coordinates):
Pm  0.368  0.737  0.546
Pm  0.632  0.263  0.046
Pm  0.632  0.263  0.454
Pm  0.368  0.737  0.954
Pu  0.113  0.226  0.750
Pu  0.887  0.774  0.250
Os  0.852  0.704  0.750
Os  0.148  0.296  0.250
N  0.279  0.558  0.140
N  0.721  0.442  0.640
N  0.721  0.442  0.860
N  0.279  0.558  0.360
N  0.000  0.000  0.500
N  0.000  0.000  0.000
N  0.458  0.917  0.750
N  0.542  0.083  0.250

=====

[15]
VASP calculation (PBE) on an optimized crystal structure of Pm2ReOsN6.

## Properties
E_form (uncorrected)   -0.496 eV per atom
Space group   P2_1/c

abc: 5.507 5.596 7.837
angles: 90.00 89.96 90.00
Atoms (fractional coordinates):
Pm  0.004  0.957  0.250
Pm  0.504  0.543  0.750
Pm  0.996  0.043  0.750
Pm  0.496  0.457  0.250
Re  0.500  0.000  0.500
Re  0.000  0.500  0.000
Os  0.500  0.000  0.000
Os  0.000  0.500  0.500
N  0.292  0.708  0.033
N  0.792  0.792  0.533
N  0.708  0.292  0.967
N  0.208  0.208  0.467
N  0.292  0.710  0.467
N  0.792  0.790  0.968
N  0.708  0.290  0.533
N  0.208  0.210  0.032
N  0.938  0.510  0.249
N  0.438  0.990  0.749
N  0.062  0.490  0.751
N  0.562  0.010  0.251

=====

[16]
VASP calculation (PBE) on an optimized crystal structure of PmSiOsN.

## Properties
E_form (uncorrected)   -0.951 eV per atom
Space group   P4/nmm

abc: 3.995 3.995 8.157
angles: 90.00 90.00 90.00
Atoms (fractional coordinates):
Pm  0.000  0.500  0.840
Pm  0.500  0.000  0.160
Si  0.000  0.500  0.342
Si  0.500  0.000  0.658
Os  0.000  0.000  0.500
Os  0.500  0.500  0.500
N  0.500  0.000  0.873
N  0.000  0.500  0.127

=====

[17]
VASP calculation (PBE) on an optimized crystal structure of Pm2SmOsN4.

## Properties
E_form (uncorrected)   -0.824 eV per atom
Space group   Cmcm

abc: 3.469 6.217 12.059
angles: 90.00 90.00 106.20
Atoms (fractional coordinates):
Pm  0.368  0.736  0.541
Pm  0.632  0.264  0.041
Pm  0.632  0.264  0.459
Pm  0.368  0.736  0.959
Sm  0.124  0.249  0.750
Sm  0.876  0.751  0.250
Os  0.856  0.712  0.750
Os  0.144  0.288  0.250
N  0.272  0.544  0.136
N  0.728  0.456  0.636
N  0.728  0.456  0.864
N  0.272  0.544  0.364
N  0.000  0.000  0.500
N  0.000  0.000  0.000
N  0.435  0.870  0.750
N  0.565  0.130  0.250

=====

[18]
VASP calculation (PBE) on an optimized crystal structure of SrPm2OsN4.

## Properties
E_form (uncorrected)   -0.738 eV per atom
Space group   Cmcm

abc: 3.566 6.388 12.414
angles: 90.00 90.00 106.21
Atoms (fractional coordinates):
Sr  0.068  0.136  0.750
Sr  0.932  0.864  0.250
Pm  0.370  0.739  0.542
Pm  0.630  0.261  0.042
Pm  0.630  0.261  0.458
Pm  0.370  0.739  0.958
Os  0.811  0.622  0.750
Os  0.189  0.378  0.250
N  0.259  0.518  0.114
N  0.741  0.482  0.614
N  0.741  0.482  0.886
N  0.259  0.518  0.386
N  0.000  0.000  0.500
N  0.000  0.000  0.000
N  0.392  0.785  0.750
N  0.608  0.215  0.250